1.
ZrSc2Te4 | PBE | optimized geometry

Output
The calculation puts the total energy at -41.6 eV/cell. For the energy relative to the elements, uncorrected, the calculation gives -1.111 eV per atom. The calculated volume comes out at 28.623 Å³ per atom.

Cell: 4.1200 7.3030 7.8373 Å, 117.20 105.24 90.00°
With the nearest neighbours (Å) after each atom.
Fractional coordinates of all 7 atoms:
Te1 0.3738 0.6975 0.7476  2 Zr 2.96, 3 Sc 2.98-3.05
Te2 0.6262 0.3025 0.2524  2 Zr 2.96, 3 Sc 2.98-3.05
Te3 0.1179 0.7788 0.2357  3 Sc 2.90-2.91, 1 Zr 2.92
Te4 0.8821 0.2212 0.7643  3 Sc 2.90-2.91, 1 Zr 2.92
Sc1 0.7531 0.7752 0.5063  6 Te 2.90-3.05
Sc2 0.2469 0.2248 0.4937  6 Te 2.90-3.05
Zr1 0.0000 0.0000 0.0000  6 Te 2.92-2.96

---

2.
TlSbBr2 | PBE | optimized geometry

Output
The calculation puts the total energy at -10.1 eV/cell. For the energy relative to the elements, uncorrected, the calculation gives -0.063 eV per atom. The calculated volume comes out at 29.823 Å³ per atom.

Cell: 5.5255 5.5255 5.5255 Å, 60.00 60.00 60.00°
With the nearest neighbours (Å) after each atom.
Fractional coordinates of all 4 atoms:
Br1 0.7500 0.7500 0.7500  4 Tl 3.38, 4 Sb 3.38
Br2 0.2500 0.2500 0.2500  4 Tl 3.38, 4 Sb 3.38
Tl1 0.5000 0.5000 0.5000  8 Br 3.38
Sb1 0.0000 0.0000 0.0000  8 Br 3.38

---

3.
RbHfBiCl2 | PBE | optimized geometry

Output
The calculation puts the total energy at -15.7 eV/cell. For the energy relative to the elements, uncorrected, the calculation gives 0.566 eV per atom. The calculated volume comes out at 38.364 Å³ per atom.

Cell: 5.5063 6.3266 5.5063 Å, 90.00 90.00 90.00°
With the nearest neighbours (Å) after each atom.
Fractional coordinates of all 5 atoms:
Cl1 0.5000 0.0000 0.0000  2 Rb 2.75
Cl2 0.0000 0.0000 0.5000  2 Rb 2.75
Bi1 0.0000 0.5000 0.0000  2 Rb 3.16
Rb1 0.0000 0.0000 0.0000  4 Cl 2.75
Hf1 0.5000 0.5000 0.5000  4 Bi 3.89, 8 Cl 4.19